Computed, not measured: Pm4Sb2TePb after structural relaxation at the PBE level of DFT.

abc: 7.813 4.478 7.814
angles: 90.00 109.17 90.00
Space group P2/m (No. 10)
Inequivalent atoms, fractional coordinates:
Pm  0.244  0.000  0.244 (multiplicity 2)
Pm  0.246  0.500  0.749 (multiplicity 2)
Sb  0.000  0.000  0.500 (multiplicity 1)
Sb  0.000  0.500  0.000 (multiplicity 1)
Te  0.500  0.500  0.500 (multiplicity 1)
Pb  0.500  0.000  0.000 (multiplicity 1)

Properties
- Electronic total energy: -42.98 eV per cell
- ρ: 7.4 g/cm3